! Y2SiP, optimized geometry, DFT PBE; values from VASP
! **V**: 22.039 Å³/atom
! **Uncorrected energy**: -6.73 eV/atom
! **Magnetization**: 0.00 μB per atom
! **Space group**: Cmmm (65)
! **Formation energy without anion corrections**: -0.79 eV/atom
&SYSTEM
  ibrav = 0, nat = 8, ntyp = 3
/
ATOMIC_SPECIES
Y 88.91 Y.upf
Si 28.09 Si.upf
P 30.97 P.upf
CELL_PARAMETERS angstrom
4.393 0.000 0.000
0.000 5.363 0.000
0.000 0.000 7.484
ATOMIC_POSITIONS crystal
Y 0.000 0.000 0.238
Y 0.000 0.000 0.762
Y 0.500 0.500 0.238
Y 0.500 0.500 0.762
Si 0.000 0.500 0.500
Si 0.500 0.000 0.500
P 0.000 0.500 0.000
P 0.500 0.000 0.000



! PdRuSe3, optimized geometry, DFT PBE; values from VASP
! **V**: 22.616 Å³/atom
! **Uncorrected energy**: -4.33 eV/atom
! **Magnetization**: 0.00 μB per atom
! **Space group**: Pm-3m (221)
! **Formation energy without anion corrections**: 0.66 eV/atom
&SYSTEM
  ibrav = 0, nat = 5, ntyp = 3
/
ATOMIC_SPECIES
Pd 106.42 Pd.upf
Ru 101.07 Ru.upf
Se 78.96 Se.upf
CELL_PARAMETERS angstrom
4.836 0.000 0.000
0.000 4.836 0.000
0.000 0.000 4.836
ATOMIC_POSITIONS crystal
Pd 0.000 0.000 0.000
Ru 0.500 0.500 0.500
Se 0.000 0.500 0.500
Se 0.500 0.000 0.500
Se 0.500 0.500 0.000



! MoPb, optimized geometry, DFT PBE; values from VASP
! **V**: 23.113 Å³/atom
! **Uncorrected energy**: -6.80 eV/atom
! **Magnetization**: 0.00 μB per atom
! **Energy of formation**: 467 meV/atom
! **Space group**: P4/m (83)
&SYSTEM
  ibrav = 0, nat = 16, ntyp = 2
/
ATOMIC_SPECIES
Mo 95.94 Mo.upf
Pb 207.20 Pb.upf
CELL_PARAMETERS angstrom
10.781 0.000 0.000
0.000 10.781 0.000
0.000 0.000 3.182
ATOMIC_POSITIONS crystal
Mo 0.019 0.636 0.000
Mo 0.136 0.449 0.500
Mo 0.364 0.019 0.000
Mo 0.449 0.864 0.500
Mo 0.551 0.136 0.500
Mo 0.636 0.981 0.000
Mo 0.864 0.551 0.500
Mo 0.981 0.364 0.000
Pb 0.143 0.162 0.500
Pb 0.162 0.857 0.500
Pb 0.321 0.634 0.000
Pb 0.366 0.321 0.000
Pb 0.634 0.679 0.000
Pb 0.679 0.366 0.000
Pb 0.838 0.143 0.500
Pb 0.857 0.838 0.500